Entry 1:
Computed, not measured: a PBEsol-optimized structure of Be2PPt at the SCAN level of DFT.

Lattice parameters (Å, degrees): 3.687 3.687 3.325 90.00 90.00 90.00
Space group P4/mmm (No. 123)
Inequivalent atoms, fractional coordinates:
1 Be 0.000 0.500 0.000 [2 per cell]
2 P 0.000 0.000 0.500 [1 per cell]
3 Pt 0.500 0.500 0.500 [1 per cell]

## Properties
size of the total moment	0.00	μB/cell
theoretical density	9.0	Mg/m³
uncorrected energy	-90.182	eV per cell
E_form	-0.22	eV/atom

---

Entry 2:
Computed, not measured: a PBEsol-optimized structure of Be2PPt at the SCAN level of DFT.

Lattice parameters (Å, degrees): 3.476 3.476 7.565 90.00 90.00 90.00
Space group I-4m2 (No. 119)
Inequivalent atoms, fractional coordinates:
1 Be 0.000 0.000 0.000 [2 per cell]
2 Be 0.000 0.500 0.250 [2 per cell]
3 P 0.000 0.500 0.750 [2 per cell]
4 Pt 0.000 0.000 0.500 [2 per cell]

## Properties
size of the total moment	0.00	μB/cell
theoretical density	8.9	Mg/m³
uncorrected energy	-179.731	eV per cell
E_form	-0.14	eV/atom

---

Entry 3:
Computed, not measured: a PBEsol-optimized structure of BePPt4 at the SCAN level of DFT.

Lattice parameters (Å, degrees): 7.290 7.290 7.290 90.00 90.00 90.00
Space group F-43m (No. 216)
Inequivalent atoms, fractional coordinates:
1 Be 0.000 0.000 0.000 [4 per cell]
2 P 0.250 0.250 0.750 [4 per cell]
3 Pt 0.125 0.125 0.375 [16 per cell]

## Properties
size of the total moment	0.00	μB/cell
theoretical density	14.1	Mg/m³
uncorrected energy	-1170.115	eV per cell
E_form	0.50	eV/atom

---

Entry 4:
Computed, not measured: a PBEsol-optimized structure of Be2PPt at the SCAN level of DFT.

Lattice parameters (Å, degrees): 2.988 3.056 4.854 90.00 90.00 90.00
Space group Pmmm (No. 47)
Inequivalent atoms, fractional coordinates:
1 Be 0.000 0.000 0.231 [2 per cell]
2 P 0.500 0.500 0.000 [1 per cell]
3 Pt 0.500 0.500 0.500 [1 per cell]

## Properties
size of the total moment	0.00	μB/cell
theoretical density	9.1	Mg/m³
uncorrected energy	-90.494	eV per cell
E_form	-0.30	eV/atom